Material: Fe2PSe
Method: DFT, PBE
State: relaxed

Results
* D(E_F): 4.2 states/eV/f.u.
* SG: P2/m
* magnetization: 2.56 Bohr magnetons per cell
* formation energy from raw total energies: 0.063 eV per atom
* total DFT energy (no corrections): -0.4698 Ry/atom

Unit cell a=2.889 b=2.882 c=6.700 alpha=64.68 beta=90.00 gamma=90.00
Site moments in Bohr magnetons follow the coordinates.
Sites, in units of the cell vectors:
P  0.500  0.250  0.250  -0.07
Se  0.500  0.750  0.750  -0.03
Fe  0.000  0.957  0.042  1.38
Fe  0.000  0.543  0.458  1.38